Record 1
Material: AgOsBr2
Method: DFT, PBEsol
State: optimized geometry

Geometry as CIF:
```
data_AgOsBr2
_chemical_formula_sum 'Ag1 Os1 Br2'
_cell_length_a 2.9841
_cell_length_b 4.4974
_cell_length_c 6.5782
_cell_angle_alpha 109.99
_cell_angle_beta 103.11
_cell_angle_gamma 90.00
_space_group_name_H-M_alt 'P 1'
_space_group_IT_number 1
loop_
_space_group_symop_operation_xyz
'x,y,z'
loop_
_atom_site_label
_atom_site_fract_x
_atom_site_fract_y
_atom_site_fract_z
Br1 0.1848 0.6848 0.3697
Ag1 0.8164 0.3164 0.6328
Br2 0.9866 0.9866 0.9732
Os1 0.5122 0.5122 0.0243
```

Computed properties:
As for the calculated volume: 20.13 A^3/atom. For the energy relative to the lowest polymorph listed for this composition, the calculation gives 1.11 eV per formula unit. As for the space group: No. 44. The formation energy without anion corrections comes out at 0.75 eV per atom.

Record 2
Material: AgOsBr2
Method: DFT, PBEsol
State: optimized geometry

Geometry as CIF:
```
data_AgOsBr2
_chemical_formula_sum 'Ag1 Os1 Br2'
_cell_length_a 3.1614
_cell_length_b 4.2520
_cell_length_c 7.1232
_cell_angle_alpha 107.30
_cell_angle_beta 90.00
_cell_angle_gamma 90.00
_space_group_name_H-M_alt 'P 1'
_space_group_IT_number 1
loop_
_space_group_symop_operation_xyz
'x,y,z'
loop_
_atom_site_label
_atom_site_fract_x
_atom_site_fract_y
_atom_site_fract_z
Os1 0.0000 0.8527 0.5804
Ag1 0.5000 0.3981 0.6715
Br1 0.0000 0.0311 0.9377
Br2 0.5000 0.7181 0.3104
```

Computed properties:
As for the calculated volume: 22.85 A^3/atom. For the energy relative to the lowest polymorph listed for this composition, the calculation gives 0.00 eV per formula unit. As for the space group: No. 6. The formation energy without anion corrections comes out at 0.47 eV per atom.

Record 3
Material: ReAgOs2Br
Method: DFT, PBEsol
State: optimized geometry

Geometry as CIF:
```
data_ReAgOs2Br
_chemical_formula_sum 'Re1 Ag1 Os2 Br1'
_cell_length_a 4.5847
_cell_length_b 4.8227
_cell_length_c 4.8227
_cell_angle_alpha 90.00
_cell_angle_beta 90.00
_cell_angle_gamma 90.00
_space_group_name_H-M_alt 'P 1'
_space_group_IT_number 1
loop_
_space_group_symop_operation_xyz
'x,y,z'
loop_
_atom_site_label
_atom_site_fract_x
_atom_site_fract_y
_atom_site_fract_z
Br1 0.5000 0.0000 0.0000
Os1 0.0000 0.0000 0.5000
Ag1 0.0000 0.0000 0.0000
Re1 0.5000 0.5000 0.5000
Os2 0.0000 0.5000 0.0000
```

Computed properties:
As for the calculated volume: 21.33 A^3/atom. As for the space group: No. 123. The formation energy without anion corrections comes out at 3.39 eV per atom.

Record 4
Material: AgPBr2
Method: DFT, PBEsol
State: optimized geometry

Geometry as CIF:
```
data_AgPBr2
_chemical_formula_sum 'Ag1 P1 Br2'
_cell_length_a 4.8557
_cell_length_b 4.8557
_cell_length_c 4.8557
_cell_angle_alpha 60.00
_cell_angle_beta 60.00
_cell_angle_gamma 60.00
_space_group_name_H-M_alt 'P 1'
_space_group_IT_number 1
loop_
_space_group_symop_operation_xyz
'x,y,z'
loop_
_atom_site_label
_atom_site_fract_x
_atom_site_fract_y
_atom_site_fract_z
Br1 0.0000 0.0000 0.0000
P1 0.2500 0.2500 0.2500
Br2 0.7500 0.7500 0.7500
Ag1 0.5000 0.5000 0.5000
```

Computed properties:
As for the calculated volume: 20.24 A^3/atom. For the energy relative to the lowest polymorph listed for this composition, the calculation gives 1.57 eV per formula unit. As for the space group: No. 216. The formation energy without anion corrections comes out at 0.70 eV per atom.

Record 5
Material: AgPBr2
Method: DFT, PBEsol
State: optimized geometry

Geometry as CIF:
```
data_AgPBr2
_chemical_formula_sum 'Ag1 P1 Br2'
_cell_length_a 3.3291
_cell_length_b 4.9234
_cell_length_c 4.9234
_cell_angle_alpha 90.00
_cell_angle_beta 90.00
_cell_angle_gamma 90.00
_space_group_name_H-M_alt 'P 1'
_space_group_IT_number 1
loop_
_space_group_symop_operation_xyz
'x,y,z'
loop_
_atom_site_label
_atom_site_fract_x
_atom_site_fract_y
_atom_site_fract_z
Br1 0.0000 0.5000 0.0000
Br2 0.0000 0.0000 0.5000
P1 0.5000 0.5000 0.5000
Ag1 0.5000 0.0000 0.0000
```

Computed properties:
As for the calculated volume: 20.17 A^3/atom. For the energy relative to the lowest polymorph listed for this composition, the calculation gives 0.70 eV per formula unit. As for the space group: No. 123. The formation energy without anion corrections comes out at 0.48 eV per atom.

Record 6
Material: AgPBr2
Method: DFT, PBEsol
State: optimized geometry

Geometry as CIF:
```
data_AgPBr2
_chemical_formula_sum 'Ag1 P1 Br2'
_cell_length_a 3.7466
_cell_length_b 3.7466
_cell_length_c 7.4024
_cell_angle_alpha 104.66
_cell_angle_beta 104.66
_cell_angle_gamma 90.00
_space_group_name_H-M_alt 'P 1'
_space_group_IT_number 1
loop_
_space_group_symop_operation_xyz
'x,y,z'
loop_
_atom_site_label
_atom_site_fract_x
_atom_site_fract_y
_atom_site_fract_z
Br1 0.0000 0.0000 0.0000
Br2 0.7500 0.2500 0.5000
P1 0.5000 0.5000 0.0000
Ag1 0.2500 0.7500 0.5000
```

Computed properties:
As for the calculated volume: 24.26 A^3/atom. For the energy relative to the lowest polymorph listed for this composition, the calculation gives 0.29 eV per formula unit. As for the space group: No. 119. The formation energy without anion corrections comes out at 0.38 eV per atom.

Record 7
Material: Ag2PBr
Method: DFT, PBEsol
State: optimized geometry

Geometry as CIF:
```
data_Ag2PBr
_chemical_formula_sum 'Ag2 P1 Br1'
_cell_length_a 3.2696
_cell_length_b 4.8477
_cell_length_c 4.8477
_cell_angle_alpha 105.47
_cell_angle_beta 90.00
_cell_angle_gamma 90.00
_space_group_name_H-M_alt 'P 1'
_space_group_IT_number 1
loop_
_space_group_symop_operation_xyz
'x,y,z'
loop_
_atom_site_label
_atom_site_fract_x
_atom_site_fract_y
_atom_site_fract_z
P1 0.5000 0.5000 0.5000
Br1 0.5000 0.0000 0.0000
Ag1 0.0000 0.0000 0.5000
Ag2 0.0000 0.5000 0.0000
```

Computed properties:
As for the calculated volume: 18.51 A^3/atom. As for the space group: No. 65. The formation energy without anion corrections comes out at 0.39 eV per atom.

Record 8
Material: AgPBr2
Method: DFT, PBEsol
State: optimized geometry

Geometry as CIF:
```
data_AgPBr2
_chemical_formula_sum 'Ag1 P1 Br2'
_cell_length_a 3.4342
_cell_length_b 4.5099
_cell_length_c 6.3521
_cell_angle_alpha 97.14
_cell_angle_beta 90.00
_cell_angle_gamma 112.38
_space_group_name_H-M_alt 'P 1'
_space_group_IT_number 1
loop_
_space_group_symop_operation_xyz
'x,y,z'
loop_
_atom_site_label
_atom_site_fract_x
_atom_site_fract_y
_atom_site_fract_z
P1 0.0000 0.0000 0.5000
Ag1 0.5000 0.0000 0.0000
Br1 0.2011 0.4022 0.2451
Br2 0.7989 0.5978 0.7549
```

Computed properties:
As for the calculated volume: 22.54 A^3/atom. For the energy relative to the lowest polymorph listed for this composition, the calculation gives 0.00 eV per formula unit. As for the space group: No. 12. The formation energy without anion corrections comes out at 0.30 eV per atom.

Record 9
Material: AgPBr2
Method: DFT, PBEsol
State: optimized geometry

Geometry as CIF:
```
data_AgPBr2
_chemical_formula_sum 'Ag1 P1 Br2'
_cell_length_a 3.2887
_cell_length_b 3.9708
_cell_length_c 7.0511
_cell_angle_alpha 90.00
_cell_angle_beta 102.20
_cell_angle_gamma 90.00
_space_group_name_H-M_alt 'P 1'
_space_group_IT_number 1
loop_
_space_group_symop_operation_xyz
'x,y,z'
loop_
_atom_site_label
_atom_site_fract_x
_atom_site_fract_y
_atom_site_fract_z
P1 0.5000 0.5000 0.5000
Ag1 0.0000 0.5000 0.0000
Br1 0.3691 0.0000 0.2495
Br2 0.6309 0.0000 0.7505
```

Computed properties:
As for the calculated volume: 22.50 A^3/atom. For the energy relative to the lowest polymorph listed for this composition, the calculation gives 0.03 eV per formula unit. As for the space group: No. 10. The formation energy without anion corrections comes out at 0.31 eV per atom.

Record 10
Material: Ag2PBr
Method: DFT, PBEsol
State: optimized geometry

Geometry as CIF:
```
data_Ag2PBr
_chemical_formula_sum 'Ag2 P1 Br1'
_cell_length_a 3.2774
_cell_length_b 3.5376
_cell_length_c 7.2846
_cell_angle_alpha 104.05
_cell_angle_beta 103.00
_cell_angle_gamma 90.00
_space_group_name_H-M_alt 'P 1'
_space_group_IT_number 1
loop_
_space_group_symop_operation_xyz
'x,y,z'
loop_
_atom_site_label
_atom_site_fract_x
_atom_site_fract_y
_atom_site_fract_z
Br1 0.5505 0.5505 0.1009
Ag1 0.9325 0.9325 0.8650
Ag2 0.7230 0.2230 0.4459
P1 0.2941 0.7941 0.5882
```

Computed properties:
As for the calculated volume: 19.92 A^3/atom. As for the space group: No. 44. The formation energy without anion corrections comes out at 0.14 eV per atom.